No. 1
! GGA-PBE NpBi3Au8, optimized geometry; values from VASP
! DFT formation energy in meV per atom: -65
! Calculated volume in Å³/atom: 22.04
! Electronic total energy in eV per formula unit: -51.58
&SYSTEM
  ibrav = 0, nat = 12, ntyp = 3
/
ATOMIC_SPECIES
Au 196.97 Au.upf
Np 237.00 Np.upf
Bi 208.98 Bi.upf
CELL_PARAMETERS angstrom
-1.186 -4.755 2.904
4.232 -3.284 1.939
1.122 2.206 9.656
ATOMIC_POSITIONS crystal
Au 0.188 0.188 0.436
Au 0.687 0.687 0.938
Au 0.938 0.938 0.686
Au 0.437 0.437 0.190
Au 0.437 0.937 0.190
Au 0.937 0.437 0.190
Au 0.938 0.439 0.686
Au 0.439 0.938 0.686
Np 0.872 0.872 0.383
Bi 0.002 0.002 0.995
Bi 0.374 0.374 0.878
Bi 0.502 0.502 0.494


No. 2
! GGA-PBE NpBiAu, optimized geometry; values from VASP
! DFT formation energy in meV per atom: -1
! Calculated volume in Å³/atom: 25.75
! Electronic total energy in eV per formula unit: -20.10
&SYSTEM
  ibrav = 0, nat = 3, ntyp = 3
/
ATOMIC_SPECIES
Np 237.00 Np.upf
Au 196.97 Au.upf
Bi 208.98 Bi.upf
CELL_PARAMETERS angstrom
3.680 0.000 0.000
0.000 3.680 0.000
-1.840 -1.840 5.703
ATOMIC_POSITIONS crystal
Np 0.301 0.301 0.603
Au 0.941 0.941 0.882
Bi 0.608 0.608 0.215


No. 3
! GGA-PBE NpBiAu, optimized geometry; values from VASP
! DFT formation energy in meV per atom: 4
! Calculated volume in Å³/atom: 25.93
! Electronic total energy in eV per formula unit: -20.09
&SYSTEM
  ibrav = 0, nat = 6, ntyp = 3
/
ATOMIC_SPECIES
Au 196.97 Au.upf
Bi 208.98 Bi.upf
Np 237.00 Np.upf
CELL_PARAMETERS angstrom
-1.336 -3.557 2.974
3.976 -0.291 1.438
-3.569 5.260 4.688
ATOMIC_POSITIONS crystal
Au 0.250 0.439 0.877
Au 0.750 0.561 0.123
Bi 0.250 0.760 0.519
Bi 0.750 0.240 0.481
Np 0.250 0.083 0.166
Np 0.750 0.917 0.834


No. 4
! GGA-PBE NpBi2AuO8, optimized geometry; values from VASP
! Calculated volume in Å³/atom: 15.47
! ΔE_f (raw) in kJ/mol of formula units: -1707
! Electronic total energy in eV per formula unit: -81.33
&SYSTEM
  ibrav = 0, nat = 12, ntyp = 4
/
ATOMIC_SPECIES
Au 196.97 Au.upf
Bi 208.98 Bi.upf
O 16.00 O.upf
Np 237.00 Np.upf
CELL_PARAMETERS angstrom
-1.081 -4.366 -1.783
2.725 1.489 -4.132
6.513 -2.552 2.628
ATOMIC_POSITIONS crystal
Au 0.000 0.000 0.500
Bi 0.565 0.473 0.263
Bi 0.435 0.527 0.737
O 0.128 0.720 0.148
O 0.872 0.280 0.852
O 0.710 0.691 0.517
O 0.662 0.776 0.956
O 0.338 0.224 0.044
O 0.824 0.130 0.265
O 0.176 0.870 0.735
O 0.290 0.309 0.483
Np 0.000 0.000 0.000


No. 5
! GGA-PBE NpPaBiAu, optimized geometry; values from VASP
! DFT formation energy in meV per atom: 40
! Calculated volume in Å³/atom: 26.44
! Electronic total energy in eV per formula unit: -29.43
&SYSTEM
  ibrav = 0, nat = 4, ntyp = 4
/
ATOMIC_SPECIES
Au 196.97 Au.upf
Pa 231.04 Pa.upf
Np 237.00 Np.upf
Bi 208.98 Bi.upf
CELL_PARAMETERS angstrom
-1.585 -2.423 -4.449
-3.998 -3.489 0.158
-4.686 1.233 -2.169
ATOMIC_POSITIONS crystal
Au 0.000 0.000 0.000
Pa 0.750 0.750 0.750
Np 0.250 0.250 0.250
Bi 0.500 0.500 0.500


No. 6
! GGA-PBE NpBiPbAu, optimized geometry; values from VASP
! DFT formation energy in meV per atom: 93
! Calculated volume in Å³/atom: 27.18
! Electronic total energy in eV per formula unit: -23.43
&SYSTEM
  ibrav = 0, nat = 4, ntyp = 4
/
ATOMIC_SPECIES
Bi 208.98 Bi.upf
Pb 207.20 Pb.upf
Au 196.97 Au.upf
Np 237.00 Np.upf
CELL_PARAMETERS angstrom
5.357 0.000 0.000
2.679 4.640 0.000
2.679 1.547 4.374
ATOMIC_POSITIONS crystal
Bi 0.500 0.500 0.500
Pb 0.250 0.250 0.250
Au 0.000 0.000 0.000
Np 0.750 0.750 0.750


No. 7
! GGA-PBE PmNpBiAu, optimized geometry; values from VASP
! DFT formation energy in meV per atom: -284
! Calculated volume in Å³/atom: 27.31
! Electronic total energy in eV per formula unit: -25.99
&SYSTEM
  ibrav = 0, nat = 4, ntyp = 4
/
ATOMIC_SPECIES
Bi 208.98 Bi.upf
Pm 145.00 Pm.upf
Np 237.00 Np.upf
Au 196.97 Au.upf
CELL_PARAMETERS angstrom
5.366 0.000 0.000
2.683 4.647 0.000
2.683 1.549 4.381
ATOMIC_POSITIONS crystal
Bi 0.500 0.500 0.500
Pm 0.250 0.250 0.250
Np 0.750 0.750 0.750
Au 0.000 0.000 0.000


No. 8
! GGA-PBE NpBiSbAu, optimized geometry; values from VASP
! Calculated volume in Å³/atom: 26.04
! ΔE_f (raw) in kJ/mol of formula units: 6
! Electronic total energy in eV per formula unit: -24.16
&SYSTEM
  ibrav = 0, nat = 4, ntyp = 4
/
ATOMIC_SPECIES
Bi 208.98 Bi.upf
Au 196.97 Au.upf
Np 237.00 Np.upf
Sb 121.76 Sb.upf
CELL_PARAMETERS angstrom
5.281 0.000 0.000
2.641 4.574 0.000
2.641 1.525 4.312
ATOMIC_POSITIONS crystal
Bi 0.500 0.500 0.500
Au 0.250 0.250 0.250
Np 0.000 0.000 0.000
Sb 0.750 0.750 0.750


Q: What is the electronic total energy in the fourth record?
A: -81.33 eV per formula unit


Q: Among the records above, which one has the lowest electronic total energy?
A: NpBi2AuO8